(1)
An optimized crystal structure of ReSb3C. Source: Alexandria via LeMat-Bulk, functional PBEsol.

The structure in POSCAR format:
```
ReSb3C
1.0
4.523 0.000 0.000
0.000 4.523 0.000
0.000 0.000 4.523
Re Sb C
1 3 1
direct
0.000 0.000 0.000
0.000 0.500 0.500
0.500 0.000 0.500
0.500 0.500 0.000
0.500 0.500 0.500
```

Output
Energy in eV per cell: -29.5
SG: Pm-3m (221)
Size of the total moment in μB per cell: 1.2
Polymorph energy (0 for the lowest one) in eV per atom: 0.000

(2)
An optimized crystal structure of NaReMoAu2. Source: Alexandria via LeMat-Bulk, functional PBEsol.

The structure in POSCAR format:
```
NaReMoAu2
1.0
4.890 0.000 0.000
0.000 4.890 0.000
0.000 0.000 5.042
Na Re Mo Au
1 1 1 2
direct
0.000 0.000 0.000
0.500 0.500 0.000
0.000 0.000 0.500
0.000 0.500 0.500
0.500 0.000 0.500
```

Output
Energy in eV per cell: -22.3
SG: P4/mmm (123)
ΔE_f in eV/atom: 2.400
Size of the total moment in μB per cell: 5.6